A PBEsol-optimized structure of MgCd2O, computed with meta-GGA SCAN.

Results
The crystal system is cubic. The calculation puts the total energy at -17.833 eV per atom. The value obtained for the magnetization is 0.95 μB/f.u.

Lattice parameters (Å, degrees): 4.644 4.644 4.644 60.00 60.00 60.00
Each line ends with the local moment (μB).
Fractional positions:
Cd 0.250 0.250 0.250  0.07
Cd 0.750 0.750 0.750  0.07
O 0.000 0.000 0.000  0.63
Mg 0.500 0.500 0.500  0.03


A PBEsol-optimized structure of CdAg2Hg, computed with meta-GGA SCAN.

Results
The crystal system is tetragonal. As for the energy above the most stable polymorph in this dataset: 0 meV/atom. Its formation energy is -1 kJ/mol of atoms. The value obtained for the magnetization is 0.00 μB/f.u.

Lattice parameters (Å, degrees): 4.130 4.130 5.195 113.42 113.42 90.00
Fractional positions:
Cd 0.500 0.500 0.000
Hg 0.250 0.750 0.500
Ag 0.750 0.250 0.500
Ag 0.000 0.000 0.000


A PBEsol-optimized structure of ScHg2, computed with meta-GGA SCAN.

Results
The crystal system is monoclinic. Its formation energy is -40 kJ/mol of atoms. The value obtained for the magnetization is 0.00 μB/f.u.

Lattice parameters (Å, degrees): 4.285 5.906 6.084 115.84 90.00 111.27
Fractional positions:
Hg 0.513 0.025 0.766
Hg 0.487 0.975 0.234
Hg 0.158 0.316 0.587
Hg 0.842 0.684 0.413
Sc 0.829 0.659 0.896
Sc 0.171 0.341 0.104


A PBEsol-optimized structure of Y2HPtS, computed with meta-GGA SCAN.

Results
The crystal system is tetragonal. The calculation puts the total energy at -28.976 eV per atom. The value obtained for the magnetization is 0.00 μB/f.u.

Lattice parameters (Å, degrees): 3.505 4.913 4.913 90.00 90.00 90.00
Fractional positions:
Pt 0.500 0.000 0.000
Y 0.000 0.000 0.500
Y 0.000 0.500 0.000
S 0.500 0.500 0.500
H 0.000 0.000 0.000


A PBEsol-optimized structure of Zr2TaIr, computed with meta-GGA SCAN.

Results
The crystal system is tetragonal. As for the energy above the most stable polymorph in this dataset: 95 meV/atom. Its formation energy is -38 kJ/mol of atoms. The value obtained for the magnetization is 0.00 μB/f.u.

Lattice parameters (Å, degrees): 3.238 3.238 7.106 90.00 90.00 90.00
Fractional positions:
Ta 0.500 0.500 0.721
Zr 0.500 0.500 0.275
Zr 0.000 0.000 0.989
Ir 0.000 0.000 0.514


A PBEsol-optimized structure of ZrPtW2, computed with meta-GGA SCAN.

Results
The crystal system is monoclinic. As for the energy above the most stable polymorph in this dataset: 0 meV/atom. Its formation energy is -13 kJ/mol of atoms. The value obtained for the magnetization is 0.00 μB/f.u.

Lattice parameters (Å, degrees): 2.753 4.571 5.318 90.00 97.06 90.00
Fractional positions:
Pt 0.126 0.500 0.732
W 0.775 0.500 0.221
W 0.071 0.000 0.029
Zr 0.528 0.000 0.519


A PBEsol-optimized structure of Ba2H6Os, computed with meta-GGA SCAN.

Results
The crystal system is cubic. The calculation puts the total energy at -19.722 eV per atom. The value obtained for the magnetization is 0.00 μB/f.u.

Lattice parameters (Å, degrees): 5.618 5.618 5.618 60.00 60.00 60.00
Fractional positions:
H 0.782 0.218 0.782
H 0.782 0.218 0.218
H 0.218 0.782 0.218
H 0.218 0.782 0.782
H 0.218 0.218 0.782
H 0.782 0.782 0.218
Ba 0.750 0.750 0.750
Ba 0.250 0.250 0.250
Os 0.000 0.000 0.000


A PBEsol-optimized structure of MnCo3H, computed with meta-GGA SCAN.

Results
The crystal system is cubic. The calculation puts the total energy at -14.634 eV per atom. The value obtained for the magnetization is 6.91 μB/f.u.

Lattice parameters (Å, degrees): 3.501 3.501 3.501 90.00 90.00 90.00
Each line ends with the local moment (μB).
Fractional positions:
Mn 0.500 0.500 0.500  3.11
Co 0.000 0.000 0.500  1.29
Co 0.500 0.000 0.000  1.29
Co 0.000 0.500 0.000  1.29
H 0.000 0.000 0.000  -0.02


A PBEsol-optimized structure of ZrSc2Mo, computed with meta-GGA SCAN.

Results
The crystal system is orthorhombic. As for the energy above the most stable polymorph in this dataset: 121 meV/atom. Its formation energy is 19 kJ/mol of atoms. The value obtained for the magnetization is 0.34 μB/f.u.

Lattice parameters (Å, degrees): 2.932 2.932 9.892 90.00 90.00 110.22
Each line ends with the local moment (μB).
Fractional positions:
Sc 0.000 0.000 0.781  0.01
Sc 0.000 0.000 0.219  0.01
Zr 0.500 0.500 0.500  0.20
Mo 0.500 0.500 0.000  0.00


A PBEsol-optimized structure of Li2AsRu, computed with meta-GGA SCAN.

Results
The crystal system is monoclinic. Its formation energy is -19 kJ/mol of atoms. The value obtained for the magnetization is 0.30 μB/f.u.

Lattice parameters (Å, degrees): 2.818 4.740 4.970 61.52 81.01 70.88
Each line ends with the local moment (μB).
Fractional positions:
Ru 0.500 0.000 0.000  0.31
Li 0.000 0.500 0.500  0.00
Li 0.000 0.000 0.500  0.00
As 0.500 0.500 0.000  0.00


A PBEsol-optimized structure of MgRu2Pb, computed with meta-GGA SCAN.

Results
The crystal system is monoclinic. Its formation energy is 13 kJ/mol of atoms. The value obtained for the magnetization is 0.00 μB/f.u.

Lattice parameters (Å, degrees): 2.958 2.974 8.409 100.12 90.00 90.00
Fractional positions:
Pb 0.500 0.336 0.793
Mg 0.000 0.156 0.439
Ru 0.500 0.549 0.225
Ru 0.000 0.959 0.043


A PBEsol-optimized structure of Re2Rh3, computed with meta-GGA SCAN.

Results
The crystal system is tetragonal. As for the energy above the most stable polymorph in this dataset: 334 meV/atom. Its formation energy is 20 kJ/mol of atoms. The value obtained for the magnetization is 0.00 μB/f.u.

Lattice parameters (Å, degrees): 3.219 3.219 7.211 102.90 102.90 90.00
Fractional positions:
Rh 0.401 0.401 0.801
Rh 0.000 0.000 0.000
Rh 0.599 0.599 0.199
Re 0.202 0.202 0.404
Re 0.798 0.798 0.596